! MnTc2Ag PBE relaxed; values from VASP
&SYSTEM
  ibrav = 0, nat = 4, ntyp = 3
/
ATOMIC_SPECIES
Mn 54.94 Mn.upf
Tc 98.00 Tc.upf
Ag 107.87 Ag.upf
CELL_PARAMETERS angstrom
2.6510 -4.4747 0.0000
2.6510 4.4747 0.0000
-0.6754 0.0000 2.5370
ATOMIC_POSITIONS crystal
Mn 0.0000 0.0000 0.0000
Tc 0.0000 0.5000 0.5000
Tc 0.5000 0.0000 0.5000
Ag 0.5000 0.5000 0.0000
! SG: No. 12
! Calculated density in kg/m³: 9899
! Calculated formation energy in eV per atom: 0.4600
! Electronic total energy in eV per atom: -7.728
! Energy above the most stable polymorph in this dataset in eV per atom: 0.2145

! Nd2Y3Ga4 PBE relaxed; values from VASP
&SYSTEM
  ibrav = 0, nat = 18, ntyp = 3
/
ATOMIC_SPECIES
Nd 144.24 Nd.upf
Y 88.91 Y.upf
Ga 69.72 Ga.upf
CELL_PARAMETERS angstrom
8.0075 0.0000 0.0000
0.0000 8.0342 0.0000
-2.1931 0.0000 7.3091
ATOMIC_POSITIONS crystal
Nd 0.1923 0.1817 0.0765
Nd 0.1923 0.3183 0.5765
Nd 0.8077 0.6817 0.4235
Nd 0.8077 0.8183 0.9235
Y 0.2405 0.6754 0.2512
Y 0.2405 0.8246 0.7512
Y 0.5000 0.0000 0.5000
Y 0.5000 0.5000 0.0000
Y 0.7595 0.1754 0.2488
Y 0.7595 0.3246 0.7488
Ga 0.0813 0.5290 0.8690
Ga 0.0813 0.9710 0.3690
Ga 0.4936 0.1194 0.8782
Ga 0.4936 0.3806 0.3782
Ga 0.5064 0.6194 0.6218
Ga 0.5064 0.8806 0.1218
Ga 0.9187 0.0290 0.6310
Ga 0.9187 0.4710 0.1310
! SG: No. 14
! Calculated density in kg/m³: 5891
! Calculated formation energy in eV per atom: -0.5943
! Electronic total energy in eV per atom: -5.154
! Energy above the most stable polymorph in this dataset in eV per atom: 0.0000

! Pm2P4Ir3Os PBE relaxed; values from VASP
&SYSTEM
  ibrav = 0, nat = 10, ntyp = 4
/
ATOMIC_SPECIES
Pm 145.00 Pm.upf
P 30.97 P.upf
Ir 192.22 Ir.upf
Os 190.23 Os.upf
CELL_PARAMETERS angstrom
4.1909 0.0000 0.0000
0.0000 4.1909 0.0000
0.0000 0.0000 9.4888
ATOMIC_POSITIONS crystal
Pm 0.0000 0.5000 0.2388
Pm 0.5000 0.0000 0.7612
P 0.0000 0.0000 0.0000
P 0.0000 0.5000 0.6328
P 0.5000 0.0000 0.3672
P 0.5000 0.5000 0.0000
Ir 0.0000 0.5000 0.8858
Ir 0.5000 0.0000 0.1142
Ir 0.5000 0.5000 0.5000
Os 0.0000 0.0000 0.5000
! SG: No. 115
! Calculated density in kg/m³: 11765
! Calculated formation energy in eV per atom: -0.9610
! Electronic total energy in eV per atom: -7.856

! BaZn9Cu3 PBE relaxed; values from VASP
&SYSTEM
  ibrav = 0, nat = 13, ntyp = 3
/
ATOMIC_SPECIES
Ba 137.33 Ba.upf
Zn 65.41 Zn.upf
Cu 63.55 Cu.upf
CELL_PARAMETERS angstrom
2.4864 -6.6100 0.0000
2.4864 6.6100 0.0000
-2.2723 0.0000 6.5546
ATOMIC_POSITIONS crystal
Ba 0.0000 0.0000 0.0000
Zn 0.0205 0.6628 0.6466
Zn 0.2650 0.5109 0.7648
Zn 0.3372 0.9795 0.3534
Zn 0.4891 0.7350 0.2352
Zn 0.5000 0.5000 0.5000
Zn 0.5109 0.2650 0.7648
Zn 0.6628 0.0205 0.6466
Zn 0.7350 0.4891 0.2352
Zn 0.9795 0.3372 0.3534
Cu 0.0000 0.0000 0.5000
Cu 0.0000 0.5000 0.0000
Cu 0.5000 0.0000 0.0000
! SG: No. 12
! Calculated density in kg/m³: 7065
! Calculated formation energy in eV per atom: -0.0938
! Electronic total energy in eV per atom: -2.069

> Which of these has the lowest electronic total energy?

Pm2P4Ir3Os

> The lowest electronic total energy belongs to which entry?

Pm2P4Ir3Os